# TbCuPd4

Crystalline TbCuPd4 at its relaxed geometry (PBE, the Alexandria database).

Output
Size of the total moment in μB per cell: 0.00
SG: F-43m, No. 216
Energy above the most stable polymorph in this dataset in meV per atom: 0
Calculated formation energy in eV per atom: -0.44

Cell lengths 5.303, 5.303, 5.303 Å; angles 60.00, 60.00, 60.00 degrees
Sites, in units of the cell vectors:
Tb: 0.250 0.250 0.250
Cu: 0.000 0.000 0.000
Pd: 0.625 0.625 0.124
Pd: 0.625 0.124 0.625
Pd: 0.625 0.625 0.625
Pd: 0.124 0.625 0.625